Computed, not measured: crystalline Mo8As2C3N3 at its relaxed geometry at the GGA-PBE level of DFT.

a b c (Å): 3.1566 3.1566 22.2147
angles (deg): 90.00 90.00 120.00
Last column: nearest neighbours and their distance in Å.
Sites, in units of the cell vectors:
Mo (0.0000, 0.0000, 0.1589)  3 C 2.06
Mo (0.0000, 0.0000, 0.3386)  3 N 2.19
Mo (0.0000, 0.0000, 0.6614)  3 N 2.19
Mo (0.0000, 0.0000, 0.8411)  3 C 2.06
Mo (0.3333, 0.6667, 0.0584)  6 C 2.22-2.24
Mo (0.3333, 0.6667, 0.4528)  6 N 2.10-2.26
Mo (0.6667, 0.3333, 0.5472)  6 N 2.10-2.26
Mo (0.6667, 0.3333, 0.9416)  6 C 2.22-2.24
As (0.3333, 0.6667, 0.2542)  6 Mo 2.62-2.79
As (0.6667, 0.3333, 0.7458)  6 Mo 2.62-2.79
C (0.0000, 0.0000, 0.0000)  6 Mo 2.24
C (0.3333, 0.6667, 0.8847)  6 Mo 2.06-2.22
C (0.6667, 0.3333, 0.1153)  6 Mo 2.06-2.22
N (0.0000, 0.0000, 0.5000)  6 Mo 2.10
N (0.3333, 0.6667, 0.6070)  6 Mo 2.19-2.26
N (0.6667, 0.3333, 0.3930)  6 Mo 2.19-2.26

Computed properties:
Raw total energy ... -0.680 Ry per atom
Symmetry ... P-3m1
Spin magnetization ... 0.03 Bohr magnetons per cell